# 1
# PBE LaAl2PdAu4, optimized geometry
# ΔH_f (0 K): -4.4 eV per formula unit
# energy: -105.20 eV for the cell shown
# total magnetization: 0.0 μB per cell
data_LaAl2PdAu4
_space_group_name_H-M_alt 'R -3 m'
_space_group_IT_number 166
_space_group_name_Hall '-R 3 2"'
_cell_length_a 4.4392
_cell_length_b 4.4392
_cell_length_c 28.0705
_cell_angle_alpha 90.00
_cell_angle_beta 90.00
_cell_angle_gamma 120.00
loop_
_atom_site_label
_atom_site_fract_x
_atom_site_fract_y
_atom_site_fract_z
La1 0.0000 0.0000 0.0000
Al1 0.0000 0.0000 0.2286
Pd1 0.0000 0.0000 0.5000
Au1 0.0000 0.0000 0.1243
Au2 0.0000 0.0000 0.3986

=====

# 2
# PBE LaAl4Pd2Au, optimized geometry
# ΔH_f (0 K): -5.2 eV per formula unit
# energy: -116.27 eV for the cell shown
# total magnetization: 0.0 μB per cell
data_LaAl4Pd2Au
_space_group_name_H-M_alt 'R -3 m'
_space_group_IT_number 166
_space_group_name_Hall '-R 3 2"'
_cell_length_a 4.3224
_cell_length_b 4.3224
_cell_length_c 28.0038
_cell_angle_alpha 90.00
_cell_angle_beta 90.00
_cell_angle_gamma 120.00
loop_
_atom_site_label
_atom_site_fract_x
_atom_site_fract_y
_atom_site_fract_z
La1 0.0000 0.0000 0.0000
Al1 0.0000 0.0000 0.1275
Al2 0.0000 0.0000 0.4049
Pd1 0.0000 0.0000 0.2401
Au1 0.0000 0.0000 0.5000

=====

# 3
# PBE La2Al4Pd3Au, optimized geometry
# ΔH_f (0 K): -8.3 eV per formula unit
# energy: -51.97 eV for the cell shown
# total magnetization: 0.0 μB per cell
data_La2Al4Pd3Au
_space_group_name_H-M_alt 'P -4 m 2'
_space_group_IT_number 115
_cell_length_a 4.392
_cell_length_b 4.392
_cell_length_c 10.503
_cell_angle_alpha 90.00
_cell_angle_beta 90.00
_cell_angle_gamma 90.00
loop_
_space_group_symop_operation_xyz
'x,y,z'
'y,-x,-z'
'-x,-y,z'
'-y,x,-z'
'-x,y,z'
'-y,-x,-z'
'x,-y,z'
'y,x,-z'
loop_
_atom_site_label
_atom_site_fract_x
_atom_site_fract_y
_atom_site_fract_z
La1 0.000 0.500 0.245
Al1 0.000 0.000 0.000
Al2 0.000 0.500 0.630
Al3 0.500 0.500 0.000
Pd1 0.000 0.500 0.871
Pd2 0.500 0.500 0.500
Au1 0.000 0.000 0.500

=====

# 4
# PBE LaAlPdAu, optimized geometry
# ΔH_f (0 K): -2.5 eV per formula unit
# energy: -78.64 eV for the cell shown
# total magnetization: 0.0 μB per cell
# polymorph energy (0 for the lowest one): 7.4 kJ per mole of atoms
data_LaAlPdAu
_space_group_name_H-M_alt 'F -4 3 m'
_space_group_IT_number 216
_space_group_name_Hall 'F -4 2 3'
_cell_length_a 6.985
_cell_length_b 6.985
_cell_length_c 6.985
_cell_angle_alpha 90.00
_cell_angle_beta 90.00
_cell_angle_gamma 90.00
loop_
_atom_site_label
_atom_site_fract_x
_atom_site_fract_y
_atom_site_fract_z
La1 0.000 0.000 0.000
Al1 0.000 0.000 0.500
Pd1 0.250 0.250 0.250
Au1 0.250 0.250 0.750

=====

# 5
# PBE LaPrAlAu, optimized geometry
# ΔH_f (0 K): -1.9 eV per formula unit
# energy: -74.59 eV for the cell shown
# total magnetization: 1.4 μB per cell
data_LaPrAlAu
_space_group_name_H-M_alt 'F -4 3 m'
_space_group_IT_number 216
_space_group_name_Hall 'F -4 2 3'
_cell_length_a 7.597
_cell_length_b 7.597
_cell_length_c 7.597
_cell_angle_alpha 90.00
_cell_angle_beta 90.00
_cell_angle_gamma 90.00
loop_
_atom_site_label
_atom_site_fract_x
_atom_site_fract_y
_atom_site_fract_z
La1 0.000 0.000 0.000
Pr1 0.000 0.000 0.500
Al1 0.250 0.250 0.250
Au1 0.250 0.250 0.750

=====

# 6
# PBE La2Al3Pt4Au, optimized geometry
# ΔH_f (0 K): -10.2 eV per formula unit
# energy: -58.71 eV for the cell shown
# total magnetization: 0.0 μB per cell
data_La2Al3Pt4Au
_space_group_name_H-M_alt 'P -4 m 2'
_space_group_IT_number 115
_cell_length_a 4.317
_cell_length_b 4.317
_cell_length_c 10.832
_cell_angle_alpha 90.00
_cell_angle_beta 90.00
_cell_angle_gamma 90.00
loop_
_space_group_symop_operation_xyz
'x,y,z'
'y,-x,-z'
'-x,-y,z'
'-y,x,-z'
'-x,y,z'
'-y,-x,-z'
'x,-y,z'
'y,x,-z'
loop_
_atom_site_label
_atom_site_fract_x
_atom_site_fract_y
_atom_site_fract_z
La1 0.000 0.500 0.248
Al1 0.000 0.000 0.000
Al2 0.000 0.500 0.618
Pt1 0.000 0.000 0.500
Pt2 0.000 0.500 0.844
Pt3 0.500 0.500 0.500
Au1 0.500 0.500 0.000

=====

Copy entry 2 word for word.
# PBE LaAl4Pd2Au, optimized geometry
# ΔH_f (0 K): -5.2 eV per formula unit
# energy: -116.27 eV for the cell shown
# total magnetization: 0.0 μB per cell
data_LaAl4Pd2Au
_space_group_name_H-M_alt 'R -3 m'
_space_group_IT_number 166
_space_group_name_Hall '-R 3 2"'
_cell_length_a 4.3224
_cell_length_b 4.3224
_cell_length_c 28.0038
_cell_angle_alpha 90.00
_cell_angle_beta 90.00
_cell_angle_gamma 120.00
loop_
_atom_site_label
_atom_site_fract_x
_atom_site_fract_y
_atom_site_fract_z
La1 0.0000 0.0000 0.0000
Al1 0.0000 0.0000 0.1275
Al2 0.0000 0.0000 0.4049
Pd1 0.0000 0.0000 0.2401
Au1 0.0000 0.0000 0.5000